Entry from the Alexandria database: a relaxed structure of V2IrPd2 (GGA-PBE).

ρ	10.35	g cm⁻³
ΔE_f	0.2463	eV per atom
calculated total energy	-36.3	eV/f.u.

abc: 4.3858 4.3858 4.8022
angles: 90.00 90.00 118.34
With the nearest neighbours (Å) after each atom.
Sites, in units of the cell vectors:
V 0.0000 0.0000 0.2431  2 V 2.33-2.47, 2 Ir 2.56
V 0.0000 0.0000 0.7569  2 V 2.33-2.47, 2 Ir 2.56
Ir 0.5000 0.5000 0.5000  4 V 2.56, 4 Pd 2.72
Pd 0.3315 0.6685 0.0000  3 Pd 2.54-2.56, 2 Ir 2.72, 6 V 2.76-2.83
Pd 0.6685 0.3315 0.0000  3 Pd 2.54-2.56, 2 Ir 2.72, 6 V 2.76-2.83


Entry from the Alexandria database: a relaxed structure of Sm2MgBiC (GGA-PBE).

ρ	7.74	g cm⁻³
ΔE_f	-0.4195	eV per atom
calculated total energy	-26.2	eV/f.u.

abc: 5.1480 5.1480 4.4228
angles: 90.00 90.00 90.00
With the nearest neighbours (Å) after each atom.
Sites, in units of the cell vectors:
Sm 0.0000 0.5000 0.0000  2 C 2.57
Sm 0.5000 0.0000 0.0000  2 C 2.57
Mg 0.0000 0.0000 0.5000  2 C 2.21
Bi 0.5000 0.5000 0.5000  8 Sm 3.39, 4 Mg 3.64
C 0.0000 0.0000 0.0000  2 Mg 2.21


Entry from the Alexandria database: a relaxed structure of LaCrCl2 (GGA-PBE).

ρ	3.48	g cm⁻³
calculated total energy	-21.5	eV/f.u.
ΔE_f (raw)	-0.81	eV/atom

abc: 8.8310 8.8310 8.8310
angles: 26.97 26.97 26.97
With the nearest neighbours (Å) after each atom.
Sites, in units of the cell vectors:
La 0.0000 0.0000 0.0000  3 Cl 2.94, 3 Cr 3.20
Cr 0.7508 0.7508 0.7508  3 Cl 2.62
Cl 0.2653 0.2653 0.2653  3 La 2.94
Cl 0.4605 0.4605 0.4605  3 Cr 2.62


Entry from the Alexandria database: a relaxed structure of Ce5PbC2 (GGA-PBE).

ρ	7.30	g cm⁻³
ΔE_f	-0.0146	eV per atom
calculated total energy	-51.9	eV/f.u.

abc: 10.2274 10.2274 10.2274
angles: 153.55 153.55 37.75
With the nearest neighbours (Å) after each atom.
Sites, in units of the cell vectors:
Ce 0.0000 0.0000 0.0000  2 C 2.30
Ce 0.1526 0.6526 0.5000  2 C 2.43
Ce 0.3474 0.8474 0.5000  2 C 2.43
Ce 0.6526 0.1526 0.5000  2 C 2.43
Ce 0.8474 0.3474 0.5000  2 C 2.43
Pb 0.5000 0.5000 0.0000  4 Ce 3.31
C 0.1189 0.1189 0.0000  5 Ce 2.30-2.43
C 0.8811 0.8811 0.0000  5 Ce 2.30-2.43


Entry from the Alexandria database: a relaxed structure of Dy3HfNi8 (GGA-PBE).

ρ	10.53	g cm⁻³
ΔE_f	-0.4352	eV per atom
calculated total energy	-75.2	eV/f.u.

abc: 8.7092 8.7092 8.7092
angles: 33.48 33.48 33.48
With the nearest neighbours (Å) after each atom.
Sites, in units of the cell vectors:
Dy 0.0000 0.0000 0.0000  12 Ni 2.89-2.94, 3 Hf 3.07, 1 Dy 3.10
Dy 0.1256 0.1256 0.1256  12 Ni 2.94-2.99, 4 Dy 3.08-3.10
Dy 0.5010 0.5010 0.5010  12 Ni 2.95-3.02, 1 Hf 3.05, 3 Dy 3.08
Hf 0.6249 0.6249 0.6249  12 Ni 2.90-2.94, 4 Dy 3.05-3.07
Ni 0.0570 0.5625 0.5625  6 Ni 2.48-2.55
Ni 0.0641 0.0641 0.5672  6 Ni 2.47-2.56
Ni 0.0641 0.5672 0.0641  6 Ni 2.47-2.56
Ni 0.3128 0.3128 0.3128  6 Ni 2.47-2.48
Ni 0.5625 0.0570 0.5625  6 Ni 2.48-2.55
Ni 0.5625 0.5625 0.0570  6 Ni 2.48-2.55
Ni 0.5672 0.0641 0.0641  6 Ni 2.47-2.56
Ni 0.8127 0.8127 0.8127  6 Ni 2.55-2.56


Entry from the Alexandria database: a relaxed structure of Pr2NdSn (GGA-PBE).

ρ	7.33	g cm⁻³
ΔE_f	-0.4522	eV per atom
calculated total energy	-20.1	eV/f.u.

abc: 4.9722 4.9722 4.9918
angles: 90.00 90.00 90.00
With the nearest neighbours (Å) after each atom.
Sites, in units of the cell vectors:
Pr 0.0000 0.5000 0.0000  4 Pr 3.52, 4 Sn 3.52, 4 Nd 3.52
Pr 0.5000 0.0000 0.0000  4 Pr 3.52, 4 Sn 3.52, 4 Nd 3.52
Nd 0.0000 0.0000 0.5000  4 Sn 3.52, 8 Pr 3.52
Sn 0.5000 0.5000 0.5000  4 Nd 3.52, 8 Pr 3.52


Entry from the Alexandria database: a relaxed structure of PmY2Ga (GGA-PBE).

ρ	5.71	g cm⁻³
ΔE_f	-0.0368	eV per atom
calculated total energy	-20.9	eV/f.u.

abc: 5.8469 5.8469 5.8469
angles: 51.83 51.83 51.83
With the nearest neighbours (Å) after each atom.
Sites, in units of the cell vectors:
Pm 0.0000 0.0000 0.0000  8 Y 3.34-3.49
Y 0.2303 0.2303 0.2303  3 Ga 3.10, 3 Pm 3.34
Y 0.7697 0.7697 0.7697  3 Ga 3.10, 3 Pm 3.34
Ga 0.5000 0.5000 0.5000  6 Y 3.10


Entry from the Alexandria database: a relaxed structure of Al6V2Rh (GGA-PBE).

ρ	4.40	g cm⁻³
ΔE_f	-0.2191	eV per atom
calculated total energy	-50.0	eV/f.u.

abc: 7.7086 7.7086 2.8589
angles: 93.36 93.36 54.67
With the nearest neighbours (Å) after each atom.
Sites, in units of the cell vectors:
Al 0.1542 0.5247 0.5091  1 Rh 2.56, 6 Al 2.61-2.86, 4 V 2.67-2.86
Al 0.1882 0.8118 0.0000  2 Rh 2.63, 7 Al 2.66-2.86, 2 V 2.93
Al 0.4753 0.8458 0.4909  1 Rh 2.56, 6 Al 2.61-2.86, 4 V 2.67-2.86
Al 0.5247 0.1542 0.5091  1 Rh 2.56, 6 Al 2.61-2.86, 4 V 2.67-2.86
Al 0.8118 0.1882 0.0000  2 Rh 2.63, 7 Al 2.66-2.86, 2 V 2.93
Al 0.8458 0.4753 0.4909  1 Rh 2.56, 6 Al 2.61-2.86, 4 V 2.67-2.86
V 0.1902 0.1902 0.9929  10 Al 2.67-2.93, 2 V 2.86
V 0.8098 0.8098 0.0071  10 Al 2.67-2.93, 2 V 2.86
Rh 0.5000 0.5000 0.5000  8 Al 2.56-2.63, 2 Rh 2.86


Entry from the Alexandria database: a relaxed structure of PPtCl2 (GGA-PBE).

ρ	6.35	g cm⁻³
calculated total energy	-12.9	eV/f.u.
ΔE_f (raw)	0.55	eV/atom

abc: 3.3121 3.3121 8.7268
angles: 90.00 90.00 125.83
With the nearest neighbours (Å) after each atom.
Sites, in units of the cell vectors:
P 0.0000 0.0000 0.0000  4 Cl 2.89, 2 P 3.02
Pt 0.0000 0.0000 0.5000  4 Cl 2.42
Cl 0.5000 0.5000 0.2826  2 Pt 2.42
Cl 0.5000 0.5000 0.7174  2 Pt 2.42


Entry from the Alexandria database: a relaxed structure of YMg2Hg (GGA-PBE).

ρ	5.79	g cm⁻³
ΔE_f	-0.2209	eV per atom
calculated total energy	-10.8	eV/f.u.

abc: 3.5824 3.5824 7.5571
angles: 90.00 90.00 90.00
With the nearest neighbours (Å) after each atom.
Sites, in units of the cell vectors:
Y 0.0000 0.0000 0.0000  4 Hg 3.21, 4 Mg 3.34, 4 Y 3.58
Mg 0.0000 0.0000 0.4755  4 Hg 3.01, 4 Mg 3.10
Mg 0.5000 0.5000 0.7120  4 Mg 3.10, 4 Y 3.34, 1 Hg 3.42
Hg 0.5000 0.5000 0.2600  4 Mg 3.01, 4 Y 3.21


Entry from the Alexandria database: a relaxed structure of Ca2CdMo (GGA-PBE).

ρ	4.77	g cm⁻³
ΔE_f	0.5517	eV per atom
calculated total energy	-13.5	eV/f.u.

abc: 5.2175 5.2175 5.2175
angles: 60.00 60.00 60.00
With the nearest neighbours (Å) after each atom.
Sites, in units of the cell vectors:
Ca 0.0000 0.0000 0.0000  4 Mo 3.20, 4 Ca 3.20
Ca 0.2500 0.2500 0.2500  4 Cd 3.20, 4 Ca 3.20
Cd 0.5000 0.5000 0.5000  4 Mo 3.20, 4 Ca 3.20
Mo 0.7500 0.7500 0.7500  4 Cd 3.20, 4 Ca 3.20


Entry from the Alexandria database: a relaxed structure of RbMgPaN3 (GGA-PBE).

ρ	6.60	g cm⁻³
calculated total energy	-41.5	eV/f.u.
ΔE_f (raw)	-0.74	eV/atom

abc: 6.2051 3.8848 8.1177
angles: 90.00 100.11 90.00
With the nearest neighbours (Å) after each atom.
Sites, in units of the cell vectors:
Rb 0.1255 0.2500 0.1749  5 N 2.90-3.12
Rb 0.8745 0.7500 0.8251  5 N 2.90-3.12
Mg 0.4570 0.2500 0.8779  4 N 2.05-2.18
Mg 0.5430 0.7500 0.1221  4 N 2.05-2.18
Pa 0.2814 0.7500 0.5829  5 N 2.23-2.47
Pa 0.7186 0.2500 0.4171  5 N 2.23-2.47
N 0.0829 0.2500 0.5971  3 Pa 2.31-2.47
N 0.3488 0.7500 0.8715  3 Mg 2.05-2.18
N 0.4601 0.7500 0.3680  1 Mg 2.15, 1 Pa 2.23
N 0.5399 0.2500 0.6320  1 Mg 2.15, 1 Pa 2.23
N 0.6512 0.2500 0.1285  3 Mg 2.05-2.18
N 0.9171 0.7500 0.4029  3 Pa 2.31-2.47


no.,total moment (μB/f.u.)
1,0.0
2,0.0
3,5.0
4,2.6
5,0.0
6,0.0
7,0.0
8,1.5
9,0.0
10,0.2
11,2.4
12,0.7